No. 1
This record from Alexandria describes an optimized crystal structure of Sm5Sn2H. The functional is PBE.

## Properties
total energy	-4.76	eV/atom
space group	I4mm

Cell: 6.7195 6.7195 6.7195 Å, 116.74 116.74 95.75°
Positions (direct):
1 Sm 0.0000 0.0000 0.0000
2 Sm 0.4952 0.4952 0.4996
3 Sm 0.4952 0.9956 0.0000
4 Sm 0.9956 0.4952 0.0000
5 Sm 0.9956 0.9956 0.5004
6 Sn 0.4962 0.9962 0.5000
7 Sn 0.9962 0.4962 0.5000
8 H 0.2565 0.2565 0.0000


No. 2
This record from Alexandria describes an optimized crystal structure of Sr2InRhC. The functional is PBE.

## Properties
total energy	-4.67	eV/atom
ΔH_f (0 K)	-139	meV per atom
space group	P4/mmm

Cell: 5.5788 5.5788 3.9269 Å, 90.00 90.00 90.00°
Positions (direct):
1 Sr 0.0000 0.5000 0.0000
2 Sr 0.5000 0.0000 0.0000
3 In 0.0000 0.0000 0.5000
4 Rh 0.5000 0.5000 0.5000
5 C 0.5000 0.5000 0.0000


No. 3
This record from Alexandria describes an optimized crystal structure of Th3As3P. The functional is PBE.

## Properties
total energy	-6.94	eV/atom
ΔH_f (0 K)	-999	meV per atom
space group	C2/m

Cell: 7.5840 7.5840 7.4681 Å, 90.86 90.86 116.10°
Positions (direct):
1 Th 0.0732 0.0732 0.2316
2 Th 0.1576 0.4962 0.7298
3 Th 0.4962 0.1576 0.7298
4 Th 0.5038 0.8424 0.2702
5 Th 0.8424 0.5038 0.2702
6 Th 0.9268 0.9268 0.7684
7 As 0.1718 0.8282 0.5000
8 As 0.2000 0.8000 0.0000
9 As 0.4152 0.4152 0.3627
10 As 0.5848 0.5848 0.6373
11 As 0.8000 0.2000 0.0000
12 As 0.8282 0.1718 0.5000
13 P 0.2710 0.2710 0.9353
14 P 0.7290 0.7290 0.0647


No. 4
This record from Alexandria describes an optimized crystal structure of ReBi3N. The functional is PBE.

## Properties
formation energy without anion corrections	6.02	eV per formula unit
total energy	-5.28	eV/atom
space group	Pm-3m

Cell: 4.8373 4.8373 4.8373 Å, 90.00 90.00 90.00°
Positions (direct):
1 Re 0.0000 0.0000 0.0000
2 Bi 0.0000 0.5000 0.5000
3 Bi 0.5000 0.0000 0.5000
4 Bi 0.5000 0.5000 0.0000
5 N 0.5000 0.5000 0.5000


No. 5
This record from Alexandria describes an optimized crystal structure of CsReOs3. The functional is PBE.

## Properties
total energy	-4.85	eV/atom
ΔH_f (0 K)	4553	meV per atom
space group	Pm-3m

Cell: 4.7856 4.7856 4.7856 Å, 90.00 90.00 90.00°
Positions (direct):
1 Cs 0.0000 0.0000 0.0000
2 Re 0.5000 0.5000 0.5000
3 Os 0.0000 0.0000 0.5000
4 Os 0.0000 0.5000 0.0000
5 Os 0.5000 0.0000 0.0000


No. 6
This record from Alexandria describes an optimized crystal structure of Sr3Tl9In2. The functional is PBE.

## Properties
total energy	-2.48	eV/atom
ΔH_f (0 K)	-209	meV per atom
space group	Immm

Cell: 9.8564 9.8564 9.8564 Å, 150.69 103.47 83.97°
Positions (direct):
1 Sr 0.0000 0.0000 0.0000
2 Sr 0.2950 0.2950 0.0000
3 Sr 0.7050 0.7050 0.0000
4 Tl 0.0046 0.6339 0.3708
5 Tl 0.1323 0.8436 0.2887
6 Tl 0.2631 0.6339 0.6292
7 Tl 0.4450 0.1564 0.2887
8 Tl 0.5000 0.0000 0.5000
9 Tl 0.5550 0.8436 0.7113
10 Tl 0.7369 0.3661 0.3708
11 Tl 0.8677 0.1564 0.7113
12 Tl 0.9954 0.3661 0.6292
13 In 0.3305 0.5000 0.8305
14 In 0.6695 0.5000 0.1695


No. 7
This record from Alexandria describes an optimized crystal structure of MgSi2Cl. The functional is PBE.

## Properties
formation energy without anion corrections	-1.92	eV per formula unit
total energy	-4.05	eV/atom
space group	Cm

Cell: 3.8049 3.8049 8.1425 Å, 105.06 105.06 59.97°
Positions (direct):
1 Mg 0.0000 0.0000 0.0000
2 Si 0.5721 0.5721 0.7476
3 Si 0.8678 0.8678 0.6462
4 Cl 0.3939 0.3939 0.1643


No. 8
This record from Alexandria describes an optimized crystal structure of NaCeIrO6. The functional is PBE.

## Properties
formation energy without anion corrections	-14.47	eV per formula unit
total energy	-6.70	eV/atom
space group	P-31c

Cell: 5.6158 5.6158 9.6895 Å, 90.00 90.00 120.00°
Positions (direct):
1 Na 0.0000 0.0000 0.0000
2 Na 0.0000 0.0000 0.5000
3 Ce 0.3333 0.6667 0.2500
4 Ce 0.6667 0.3333 0.7500
5 Ir 0.3333 0.6667 0.7500
6 Ir 0.6667 0.3333 0.2500
7 O 0.0417 0.3876 0.6402
8 O 0.0417 0.6541 0.8598
9 O 0.3459 0.3876 0.8598
10 O 0.3459 0.9583 0.6402
11 O 0.3876 0.0417 0.1402
12 O 0.3876 0.3459 0.3598
13 O 0.6124 0.6541 0.6402
14 O 0.6124 0.9583 0.8598
15 O 0.6541 0.0417 0.3598
16 O 0.6541 0.6124 0.1402
17 O 0.9583 0.3459 0.1402
18 O 0.9583 0.6124 0.3598


DOS at the Fermi energy for every record listed, in sequence, given in states/eV per atom: 1.010 0.412 0.441 0.477 2.500 0.460 0.165 0.608.
Magnetization for every record listed, in sequence, given in μB per cell: 0.0 0.0 0.0 2.7 0.8 0.0 0.0 3.7.